(1)
# Al2AgBi2 (PBE, relaxed)
# - DFT formation energy (eV/atom) = 0.189
# - polymorph energy (0 for the lowest one) (meV/atom) = 0.0
# - crystal system = tetragonal
# - DOS(E_F) (states/eV/atom) = 0.45
# - size of the total moment (μB per formula unit) = 0.000
data_Al2AgBi2
_chemical_formula_sum 'Al4 Ag2 Bi4'
_cell_length_a 7.248
_cell_length_b 7.248
_cell_length_c 4.570
_cell_angle_alpha 90.00
_cell_angle_beta 90.00
_cell_angle_gamma 90.00
_symmetry_space_group_name_H-M 'P 1'
_symmetry_Int_Tables_number 1
_symmetry_space_group_name_Hall 'P 1'
loop_
_atom_site_label
_atom_site_type_symbol
_atom_site_fract_x
_atom_site_fract_y
_atom_site_fract_z
Al1 Al 0.129 0.371 0.000
Al2 Al 0.371 0.871 0.000
Al3 Al 0.629 0.129 0.000
Al4 Al 0.871 0.629 0.000
Ag1 Ag 0.000 0.000 0.000
Ag2 Ag 0.500 0.500 0.000
Bi1 Bi 0.192 0.692 0.500
Bi2 Bi 0.308 0.192 0.500
Bi3 Bi 0.692 0.808 0.500
Bi4 Bi 0.808 0.308 0.500


(2)
# Na3CeU3N8 (PBE, relaxed)
# - crystal system = trigonal
# - DOS(E_F) (states/eV/atom) = 0.31
# - size of the total moment (μB per formula unit) = 1.190
# - E_form (uncorrected) (eV/atom) = -1.035
data_Na3CeU3N8
_chemical_formula_sum 'Na3 Ce1 U3 N8'
_cell_length_a 6.998
_cell_length_b 6.998
_cell_length_c 6.998
_cell_angle_alpha 60.52
_cell_angle_beta 60.52
_cell_angle_gamma 60.52
_symmetry_space_group_name_H-M 'P 1'
_symmetry_Int_Tables_number 1
_symmetry_space_group_name_Hall 'P 1'
loop_
_atom_site_label
_atom_site_type_symbol
_atom_site_fract_x
_atom_site_fract_y
_atom_site_fract_z
Na1 Na 0.000 0.500 0.500
Na2 Na 0.500 0.000 0.500
Na3 Na 0.500 0.500 0.000
Ce1 Ce 0.500 0.500 0.500
U1 U 0.000 0.000 0.500
U2 U 0.000 0.500 0.000
U3 U 0.500 0.000 0.000
N1 N 0.204 0.731 0.731
N2 N 0.230 0.230 0.230
N3 N 0.269 0.269 0.796
N4 N 0.269 0.796 0.269
N5 N 0.731 0.204 0.731
N6 N 0.731 0.731 0.204
N7 N 0.770 0.770 0.770
N8 N 0.796 0.269 0.269


(3)
# InTe4Pd (PBE, relaxed)
# - crystal system = monoclinic
# - DOS(E_F) (states/eV/atom) = 0.55
# - size of the total moment (μB per formula unit) = 0.000
# - E_form (uncorrected) (eV/atom) = -0.222
data_InTe4Pd
_chemical_formula_sum 'In2 Te8 Pd2'
_cell_length_a 12.948
_cell_length_b 4.231
_cell_length_c 7.373
_cell_angle_alpha 90.00
_cell_angle_beta 123.33
_cell_angle_gamma 90.00
_symmetry_space_group_name_H-M 'P 1'
_symmetry_Int_Tables_number 1
_symmetry_space_group_name_Hall 'P 1'
loop_
_atom_site_label
_atom_site_type_symbol
_atom_site_fract_x
_atom_site_fract_y
_atom_site_fract_z
In1 In 0.000 0.000 0.000
In2 In 0.500 0.500 0.000
Te1 Te 0.135 0.000 0.772
Te2 Te 0.142 0.500 0.328
Te3 Te 0.358 0.000 0.672
Te4 Te 0.365 0.500 0.228
Te5 Te 0.635 0.500 0.772
Te6 Te 0.642 0.000 0.328
Te7 Te 0.858 0.500 0.672
Te8 Te 0.865 0.000 0.228
Pd1 Pd 0.000 0.500 0.500
Pd2 Pd 0.500 0.000 0.500


(4)
# SrOsPb2 (PBE, relaxed)
# - DFT formation energy (eV/atom) = 0.508
# - crystal system = orthorhombic
# - DOS(E_F) (states/eV/atom) = 0.95
# - size of the total moment (μB per formula unit) = 0.000
data_SrOsPb2
_chemical_formula_sum 'Sr2 Os2 Pb4'
_cell_length_a 4.980
_cell_length_b 3.729
_cell_length_c 12.058
_cell_angle_alpha 90.00
_cell_angle_beta 90.00
_cell_angle_gamma 90.00
_symmetry_space_group_name_H-M 'P 1'
_symmetry_Int_Tables_number 1
_symmetry_space_group_name_Hall 'P 1'
loop_
_atom_site_label
_atom_site_type_symbol
_atom_site_fract_x
_atom_site_fract_y
_atom_site_fract_z
Sr1 Sr 0.000 0.000 0.000
Sr2 Sr 0.000 0.500 0.500
Os1 Os 0.500 0.000 0.625
Os2 Os 0.500 0.500 0.125
Pb1 Pb 0.000 0.000 0.725
Pb2 Pb 0.000 0.500 0.225
Pb3 Pb 0.500 0.000 0.314
Pb4 Pb 0.500 0.500 0.814